Entry 1:
# Dy2Be3Pt4Au

Crystalline Dy2Be3Pt4Au at its relaxed geometry (PBE, Alexandria).

The energy is -56.25 eV per cell. For the energy of formation, the calculation gives -0.843 eV per atom. Its calculated volume is 16.60 Å³/atom.

The structure belongs to space group P-4m2 (No. 115); the cell edges are 3.970, 3.970 and 10.535 Å and the angles 90.00°, 90.00° and 90.00°. The inequivalent atoms are Dy at (0.000, 0.500, 0.238), Be at (0.000, 0.500, 0.888), Be at (0.500, 0.500, 0.500), Pt at (0.000, 0.000, 0.000), Pt at (0.000, 0.500, 0.673), Pt at (0.500, 0.500, 0.000) and Au at (0.000, 0.000, 0.500).

***

Entry 2:
# CdPAu

Crystalline CdPAu at its relaxed geometry (PBE, Alexandria).

The energy is -39.15 eV per cell. For the energy of formation, the calculation gives -0.062 eV per atom. Its calculated volume is 21.23 Å³/atom.

The structure belongs to space group Imma (No. 74); the cell edges are 4.125, 7.397 and 8.351 Å and the angles 90.00°, 90.00° and 90.00°. The inequivalent atoms are Cd at (0.000, 0.250, 0.121), P at (0.000, 0.250, 0.685) and Au at (0.000, 0.000, 0.500).

***

Entry 3:
# TbPr3NdHo

Crystalline TbPr3NdHo at its relaxed geometry (PBE, Alexandria).

The energy is -112.85 eV per cell. For the energy of formation, the calculation gives 0.017 eV per atom. Its calculated volume is 34.45 Å³/atom.

The structure belongs to space group Cmcm (No. 63); the cell edges are 5.166, 15.537 and 10.300 Å and the angles 90.00°, 90.00° and 90.00°. The inequivalent atoms are Tb at (0.000, 0.165, 0.250), Pr at (0.000, 0.166, 0.750), Pr at (0.000, 0.334, 0.501), Nd at (0.000, 0.000, 0.000) and Ho at (0.000, 0.499, 0.750).

***

Entry 4:
# PaPtSe4

Crystalline PaPtSe4 at its relaxed geometry (PBE, Alexandria).

The energy is -34.66 eV per cell. The raw formation energy comes out at -5.18 eV/f.u. Its calculated volume is 26.64 Å³/atom.

The structure belongs to space group P2/m (No. 10); the cell edges are 6.032, 3.980 and 6.690 Å and the angles 90.00°, 95.70° and 90.00°. The inequivalent atoms are Pa at (0.000, 0.000, 0.000), Pt at (0.500, 0.500, 0.000), Se at (0.177, 0.500, 0.261) and Se at (0.356, 0.000, 0.770).

***

Entry 5:
# GdYBeCd

Crystalline GdYBeCd at its relaxed geometry (PBE, Alexandria).

The energy is -101.56 eV per cell. For the energy of formation, the calculation gives -0.051 eV per atom. Its calculated volume is 23.80 Å³/atom.

The structure belongs to space group F-43m (No. 216); the cell edges are 7.249, 7.249 and 7.249 Å and the angles 90.00°, 90.00° and 90.00°. The inequivalent atoms are Gd at (0.000, 0.000, 0.000), Y at (0.000, 0.000, 0.500), Be at (0.250, 0.250, 0.250) and Cd at (0.250, 0.250, 0.750).

***

Entry 6:
# HfPa2Tc4

Crystalline HfPa2Tc4 at its relaxed geometry (PBE, Alexandria).

The energy is -211.75 eV per cell. For the energy of formation, the calculation gives -0.025 eV per atom. Its calculated volume is 19.86 Å³/atom.

The structure belongs to space group R-3m (No. 166, hexagonal axes); the cell edges are 4.5249, 4.5249 and 23.5176 Å and the angles 90.00°, 90.00° and 120.00°. The inequivalent atoms are Hf at (0.0000, 0.0000, 0.0000), Pa at (0.0000, 0.0000, 0.2395), Tc at (0.0000, 0.0000, 0.1138) and Tc at (0.0000, 0.0000, 0.3748).

***

Entry 7:
# Y2Ho3Tm3

Crystalline Y2Ho3Tm3 at its relaxed geometry (PBE, Alexandria).

The energy is -114.37 eV per cell. For the energy of formation, the calculation gives 0.244 eV per atom. Its calculated volume is 32.54 Å³/atom.

The structure belongs to space group R32 (No. 155, hexagonal axes); the cell edges are 8.7004, 8.7004 and 11.9126 Å and the angles 90.00°, 90.00° and 120.00°. The inequivalent atoms are Y at (0.0000, 0.0000, 0.2499), Ho at (0.0000, 0.7654, 0.0000) and Tm at (0.0000, 0.2322, 0.5000).

***

Entry 8:
# CrIn2P

Crystalline CrIn2P at its relaxed geometry (PBE, Alexandria).

The energy is -39.57 eV per cell. For the energy of formation, the calculation gives 0.181 eV per atom. Its calculated volume is 19.80 Å³/atom.

The structure belongs to space group Cm (No. 8); the cell edges are 10.938, 3.171 and 4.883 Å and the angles 90.00°, 110.74° and 90.00°. The inequivalent atoms are Cr at (0.000, 0.000, 0.000), In at (0.046, 0.500, 0.522), In at (0.255, 0.500, 0.176) and P at (0.346, 0.000, 0.761).

***

Entry 9:
# TeOsO3

Crystalline TeOsO3 at its relaxed geometry (PBE, Alexandria).

The energy is -25.85 eV per cell. The raw formation energy comes out at 3.40 eV/f.u. Its calculated volume is 14.12 Å³/atom.

The structure belongs to space group Pm-3m (No. 221); the cell edges are 4.133, 4.133 and 4.133 Å and the angles 90.00°, 90.00° and 90.00°. The inequivalent atoms are Te at (0.000, 0.000, 0.000), Os at (0.500, 0.500, 0.500) and O at (0.000, 0.000, 0.500).

***

Entry 10:
# PaZnN

Crystalline PaZnN at its relaxed geometry (PBE, Alexandria).

The energy is -37.41 eV per cell. The raw formation energy comes out at 0.39 eV/f.u. Its calculated volume is 18.59 Å³/atom.

The structure belongs to space group I4mm (No. 107); the cell edges are 4.053, 4.053 and 6.792 Å and the angles 90.00°, 90.00° and 90.00°. The inequivalent atoms are Pa at (0.000, 0.000, 0.000), Zn at (0.000, 0.000, 0.411) and N at (0.000, 0.000, 0.700).

***

Entry 11:
# DyTmMgZn

Crystalline DyTmMgZn at its relaxed geometry (PBE, Alexandria).

The energy is -50.54 eV per cell. For the energy of formation, the calculation gives -0.173 eV per atom. Its calculated volume is 24.29 Å³/atom.

The structure belongs to space group F-43m (No. 216); the cell edges are 7.298, 7.298 and 7.298 Å and the angles 90.00°, 90.00° and 90.00°. The inequivalent atoms are Dy at (0.000, 0.000, 0.000), Tm at (0.000, 0.000, 0.500), Mg at (0.250, 0.250, 0.750) and Zn at (0.250, 0.250, 0.250).

***

Entry 12:
# Zn2InHg2Pd5

Crystalline Zn2InHg2Pd5 at its relaxed geometry (PBE, Alexandria).

The energy is -69.78 eV per cell. For the energy of formation, the calculation gives -0.304 eV per atom. Its calculated volume is 17.28 Å³/atom.

The structure belongs to space group P4/mbm (No. 127); the cell edges are 9.457, 9.457 and 3.865 Å and the angles 90.00°, 90.00° and 90.00°. The inequivalent atoms are Zn at (0.127, 0.373, 0.000), In at (0.000, 0.000, 0.000), Hg at (0.169, 0.669, 0.000), Pd at (0.000, 0.500, 0.500) and Pd at (0.089, 0.194, 0.500).